(w)
Entry from Alexandria via LeMat-Bulk: a relaxed structure of CaIO2 (PBE).

```
4
Lattice="1.771 1.023 6.506 -1.771 1.023 6.506 0.000 -2.045 6.506" Properties=species:S:1:pos:R:3 pbc="T T T"
Ca 0.000 0.000 0.000
I 0.000 0.000 9.759
O 0.000 0.000 7.688
O 0.000 0.000 11.829
```

Properties
magnetization = 0.0 μB/cell
Fermi-level density of states = 0.568 states/eV per atom

(x)
Entry from Alexandria via LeMat-Bulk: a relaxed structure of CaIO2 (PBE).

```
8
Lattice="-3.176 3.176 3.390 3.176 -3.176 3.390 3.176 3.176 -3.390" Properties=species:S:1:pos:R:3 pbc="T T T"
Ca 0.000 0.000 0.000
Ca 0.000 3.176 1.695
I 3.176 0.000 1.695
I 0.000 0.000 3.390
O 4.763 1.497 -0.847
O 1.497 1.588 0.847
O -1.588 1.679 2.542
O 1.679 1.588 4.237
```

Properties
magnetization = 0.0 μB/cell
Fermi-level density of states = 0.752 states/eV per atom

Pick (w): it beats the second-best structure by 595 meV per atom.

(w)
Entry from Alexandria via LeMat-Bulk: a relaxed structure of CaIO2 (PBE).

```
4
Lattice="1.988 1.148 5.642 -1.988 1.148 5.642 0.000 -2.296 5.642" Properties=species:S:1:pos:R:3 pbc="T T T"
Ca 0.000 0.000 0.000
I 0.000 0.000 8.463
O 0.000 0.000 2.208
O 0.000 0.000 14.717
```

Properties
magnetization = 0.0 μB/cell
Fermi-level density of states = 0.409 states/eV per atom

(x)
Entry from Alexandria via LeMat-Bulk: a relaxed structure of CaIO2 (PBE).

```
4
Lattice="0.000 3.186 3.186 3.186 0.000 3.186 3.186 3.186 0.000" Properties=species:S:1:pos:R:3 pbc="T T T"
Ca 0.000 0.000 0.000
I 3.186 3.186 3.186
O 1.593 1.593 1.593
O 4.780 4.780 4.780
```

Properties
magnetization = 1.8 μB/cell
Fermi-level density of states = 1.038 states/eV per atom

Pick (x): it beats the second-best structure by 154 meV per atom.

(w)
Entry from Alexandria via LeMat-Bulk: a relaxed structure of CaI2O2 (PBE).

```
5
Lattice="6.309 0.000 0.000 0.000 6.309 0.000 0.000 0.000 4.137" Properties=species:S:1:pos:R:3 pbc="T T T"
Ca 0.000 0.000 0.000
I 0.000 3.155 0.000
I 3.155 0.000 0.000
O 0.000 0.000 2.068
O 3.155 3.155 2.068
```

Properties
magnetization = 1.1 μB/cell
Fermi-level density of states = 1.719 states/eV per atom

(x)
Entry from Alexandria via LeMat-Bulk: a relaxed structure of CaI2O2 (PBE).

```
5
Lattice="4.909 0.000 0.000 0.000 4.909 0.000 0.000 0.000 4.374" Properties=species:S:1:pos:R:3 pbc="T T T"
Ca 0.000 0.000 0.000
I 0.000 2.454 2.187
I 2.454 0.000 2.187
O 2.454 2.454 0.000
O 2.454 2.454 2.187
```

Properties
magnetization = 0.0 μB/cell
Fermi-level density of states = 0.450 states/eV per atom

Pick (x): it beats the second-best structure by 262 meV per atom.

(w)
Entry from Alexandria via LeMat-Bulk: a relaxed structure of CaI2O2 (PBE).

```
5
Lattice="4.254 0.000 0.000 0.000 4.254 0.000 0.000 0.000 7.064" Properties=species:S:1:pos:R:3 pbc="T T T"
Ca 0.000 0.000 0.000
I 2.127 2.127 0.000
I 2.127 2.127 3.532
O 0.000 2.127 3.532
O 2.127 0.000 3.532
```

Properties
magnetization = 0.0 μB/cell
Fermi-level density of states = 0.235 states/eV per atom

(x)
Entry from Alexandria via LeMat-Bulk: a relaxed structure of CaI2O2 (PBE).

```
5
Lattice="4.548 0.000 0.000 0.000 4.548 0.000 0.000 0.000 7.306" Properties=species:S:1:pos:R:3 pbc="T T T"
Ca 0.000 0.000 0.000
I 0.000 0.000 3.653
I 2.274 2.274 3.653
O 0.000 2.274 0.000
O 2.274 0.000 0.000
```

Properties
magnetization = 2.0 μB/cell
Fermi-level density of states = 1.022 states/eV per atom

Pick (x): it beats the second-best structure by 31 meV per atom.

(w)
Entry from Alexandria via LeMat-Bulk: a relaxed structure of Ca2IO (PBE).

```
8
Lattice="-3.247 3.247 5.491 3.247 -3.247 5.491 3.247 3.247 -5.491" Properties=species:S:1:pos:R:3 pbc="T T T"
Ca 0.804 1.623 1.373
Ca -1.623 2.442 4.118
Ca -0.804 4.870 1.373
Ca 1.623 4.051 4.118
I 3.247 0.000 2.746
I 0.000 0.000 5.491
O 0.000 0.000 0.000
O 0.000 3.247 2.746
```

Properties
magnetization = 1.4 μB/cell
Fermi-level density of states = 0.460 states/eV per atom

(x)
Entry from Alexandria via LeMat-Bulk: a relaxed structure of Ca2IO (PBE).

```
4
Lattice="1.903 1.098 7.359 -1.903 1.098 7.359 0.000 -2.197 7.359" Properties=species:S:1:pos:R:3 pbc="T T T"
Ca 0.000 0.000 4.899
Ca 0.000 0.000 17.179
I 0.000 0.000 0.000
O 0.000 0.000 11.039
```

Properties
magnetization = 0.9 μB/cell
Fermi-level density of states = 0.266 states/eV per atom

Pick (w): it beats the second-best structure by 85 meV per atom.

(w)
Entry from Alexandria via LeMat-Bulk: a relaxed structure of CaI3O (PBE).

```
5
Lattice="6.131 0.000 0.000 0.000 6.131 0.000 0.000 0.000 6.131" Properties=species:S:1:pos:R:3 pbc="T T T"
Ca 0.000 0.000 0.000
I 0.000 0.000 3.066
I 0.000 3.066 0.000
I 3.066 0.000 0.000
O 3.066 3.066 3.066
```

Properties
magnetization = 3.0 μB/cell
Fermi-level density of states = 2.272 states/eV per atom

(x)
Entry from Alexandria via LeMat-Bulk: a relaxed structure of CaI3O (PBE).

```
5
Lattice="5.228 0.000 0.000 0.000 5.228 0.000 0.000 0.000 5.228" Properties=species:S:1:pos:R:3 pbc="T T T"
Ca 0.000 0.000 0.000
I 0.000 2.614 2.614
I 2.614 0.000 2.614
I 2.614 2.614 0.000
O 2.614 2.614 2.614
```

Properties
magnetization = 0.0 μB/cell
Fermi-level density of states = 0.341 states/eV per atom

Pick (x): it beats the second-best structure by 255 meV per atom.